1.
Material: Ac8SbAs4Se3
Method: DFT, PBE-GGA
State: relaxed

Its crystal system is trigonal. The final energy comes out at -5.77 eV/atom. Its uncorrected formation energy is -1644 meV/atom. The density of states at the Fermi level is 3.19 states/eV/f.u.

The structure belongs to space group R-3m (No. 166, hexagonal axes); the cell edges are 9.0963, 9.0963 and 22.3915 Å and the angles 90.00°, 90.00° and 120.00°. The inequivalent atoms are Ac at (0.0000, 0.0000, 0.2465), Ac at (0.0027, 0.5014, 0.2462), Sb at (0.0000, 0.0000, 0.0000), As at (0.0000, 0.0000, 0.5000), As at (0.0000, 0.5000, 0.5000) and Se at (0.0000, 0.5000, 0.0000).

2.
Material: Ac8Sb4AsSe3
Method: DFT, PBE-GGA
State: relaxed

Its crystal system is trigonal. The final energy comes out at -5.55 eV/atom. Its uncorrected formation energy is -1517 meV/atom. The density of states at the Fermi level is 4.08 states/eV/f.u.

The structure belongs to space group R-3m (No. 166, hexagonal axes); the cell edges are 9.3205, 9.3205 and 22.6755 Å and the angles 90.00°, 90.00° and 120.00°. The inequivalent atoms are Ac at (0.0000, 0.0000, 0.2479), Ac at (0.0043, 0.5022, 0.2467), Sb at (0.0000, 0.0000, 0.0000), Sb at (0.0000, 0.5000, 0.0000), As at (0.0000, 0.0000, 0.5000) and Se at (0.0000, 0.5000, 0.5000).

3.
Material: Ac6SbAs2Se3
Method: DFT, PBE-GGA
State: relaxed

Its crystal system is monoclinic. The final energy comes out at -5.71 eV/atom. Its uncorrected formation energy is -1668 meV/atom. The density of states at the Fermi level is 4.77 states/eV/f.u.

The structure belongs to space group C2/m (No. 12); the cell edges are 19.838, 4.563 and 9.098 Å and the angles 90.00°, 102.89° and 90.00°. The inequivalent atoms are Ac at (0.003, 0.000, 0.259), Ac at (0.169, 0.500, 0.578), Ac at (0.170, 0.500, 0.093), Sb at (0.000, 0.500, 0.000), As at (0.168, 0.000, 0.334), Se at (0.000, 0.500, 0.500) and Se at (0.165, 0.000, 0.833).

4.
Material: Ac6Sb2Te3As
Method: DFT, PBE-GGA
State: relaxed

Its crystal system is monoclinic. The final energy comes out at -5.36 eV/atom. Its uncorrected formation energy is -1449 meV/atom. The density of states at the Fermi level is 5.23 states/eV/f.u.

The structure belongs to space group C2/m (No. 12); the cell edges are 8.190, 14.152 and 8.217 Å and the angles 90.00°, 109.40° and 90.00°. The inequivalent atoms are Ac at (0.239, 0.161, 0.234), Ac at (0.243, 0.000, 0.764), Sb at (0.000, 0.334, 0.000), Te at (0.000, 0.171, 0.500), Te at (0.000, 0.500, 0.500) and As at (0.000, 0.000, 0.000).

5.
Material: Ac8Sb4Te3As
Method: DFT, PBE-GGA
State: relaxed

Its crystal system is trigonal. The final energy comes out at -5.36 eV/atom. Its uncorrected formation energy is -1393 meV/atom. The density of states at the Fermi level is 4.37 states/eV/f.u.

The structure belongs to space group R-3m (No. 166, hexagonal axes); the cell edges are 9.5123, 9.5123 and 23.1767 Å and the angles 90.00°, 90.00° and 120.00°. The inequivalent atoms are Ac at (0.0000, 0.0000, 0.2471), Ac at (0.0112, 0.5056, 0.7500), Sb at (0.0000, 0.0000, 0.5000), Sb at (0.0000, 0.5000, 0.5000), Te at (0.0000, 0.5000, 0.0000) and As at (0.0000, 0.0000, 0.0000).

6.
Material: Ac8Sb3Te4As
Method: DFT, PBE-GGA
State: relaxed

Its crystal system is trigonal. The final energy comes out at -5.34 eV/atom. Its uncorrected formation energy is -1434 meV/atom. The density of states at the Fermi level is 7.11 states/eV/f.u.

The structure belongs to space group R-3m (No. 166, hexagonal axes); the cell edges are 9.4725, 9.4725 and 23.2902 Å and the angles 90.00°, 90.00° and 120.00°. The inequivalent atoms are Ac at (0.0000, 0.0000, 0.2470), Ac at (0.0097, 0.5048, 0.2447), Sb at (0.0000, 0.5000, 0.5000), Te at (0.0000, 0.0000, 0.0000), Te at (0.0000, 0.5000, 0.0000) and As at (0.0000, 0.0000, 0.5000).